Compound: Re2SeBr
Source: the Alexandria database
Functional: GGA-PBE
Structure: relaxed

```
Re2SeBr
1.0
-2.2527 0.1743 1.8523
3.1689 -1.9744 4.0395
1.1723 4.0235 1.0470
Re Se Br
2 1 1
direct
0.5000 0.5000 0.0000
0.0000 0.0000 0.0000
0.5000 0.0000 0.5000
0.0000 0.5000 0.5000
```

## Properties
* raw total energy: -6.170 eV per atom
* formation energy from raw total energies: 1.34 eV per atom
* magnetization: 0.00 μB/f.u.
* space group: Pmmm (47)

=====

Compound: CrSb2Pt
Source: the Alexandria database
Functional: GGA-PBE
Structure: relaxed

```
CrSb2Pt
1.0
-1.4732 0.6973 -3.7517
1.9759 -1.4098 -3.2923
-2.9945 -5.3397 -2.0104
Sb Cr Pt
2 1 1
direct
0.5052 0.5052 0.4854
0.9948 0.9948 0.0146
0.7500 0.7500 0.7500
0.2500 0.2500 0.2500
```

## Properties
* raw total energy: -5.934 eV per atom
* formation energy from raw total energies: 0.04 eV per atom
* magnetization: 4.03 μB/f.u.
* space group: C2/m (12)

=====

Compound: SbTe2HAu
Source: the Alexandria database
Functional: GGA-PBE
Structure: relaxed

```
SbTe2HAu
1.0
-4.2722 2.2272 -2.2353
-0.5201 -4.2079 -3.1986
-2.2640 -1.7124 2.6209
Te Au Sb H
2 1 1 1
direct
0.5000 0.0000 0.0000
0.0000 0.5000 0.0000
0.5000 0.5000 0.5000
0.0000 0.0000 0.5000
0.0000 0.0000 0.0000
```

## Properties
* raw total energy: -2.873 eV per atom
* magnetization: 0.00 μB/f.u.
* space group: P4/mmm (123)

=====

Number 1: mass density 12.708 Mg/m³. Number 2: mass density 9.387 Mg/m³. Number 3: mass density 8.760 Mg/m³.